! V3GaTc, relaxed, DFT PBE; values from VASP
! V ... 14.89 Å³/atom
! Space group ... No. 62
! Formation energy ... 0.162 eV per atom
! Energy above the most stable polymorph in this dataset ... 236.3 meV/atom
&SYSTEM
  ibrav = 0, nat = 20, ntyp = 3
/
ATOMIC_SPECIES
V 50.94 V.upf
Ga 69.72 Ga.upf
Tc 98.00 Tc.upf
ATOMIC_POSITIONS angstrom
V -7.651 -2.574 -0.004
V -6.683 -0.026 -0.028
V -3.077 -2.309 -3.964
Ga -4.263 -0.811 -1.921
Tc -0.590 -2.765 -2.220
Ga -6.230 -4.969 0.268
V -3.810 -5.754 -1.625
Tc -1.710 1.328 -1.199
Ga -8.174 -4.738 -1.811
V -1.584 -4.657 -3.583
V -5.467 -1.684 2.975
Tc -4.656 -0.125 1.394
Tc -3.536 -4.218 0.373
V -5.302 -3.407 -2.005
Ga -2.319 -1.043 0.158
V -2.842 -3.206 -1.648
V -7.416 -3.471 2.311
V -5.025 -4.096 -4.627
V -8.908 -1.124 1.931
V -5.190 -2.374 0.353
CELL_PARAMETERS angstrom
-3.421 2.656 -2.398
-1.180 -5.530 -4.440
-5.892 -2.906 5.186